Material: La2TiSb4
Method: DFT, GGA-PBE
State: optimized geometry

Cell: 5.2804 5.2804 8.7633 Å, 72.47 72.47 90.00°
Sites, in units of the cell vectors:
Sb1 0.0000 0.5000 0.0000
La1 0.6275 0.6275 0.7449
La2 0.3725 0.3725 0.2551
Sb2 0.5000 0.0000 0.0000
Sb3 0.1741 0.1741 0.6517
Ti1 0.0000 0.0000 0.0000
Sb4 0.8259 0.8259 0.3483

final energy	-5.504	eV/atom
energy relative to the elements, uncorrected	-613	meV/atom
total magnetic moment	0.00	μB/atom

Material: LaTi2Sb2
Method: DFT, GGA-PBE
State: optimized geometry

Cell: 8.0308 8.0308 3.5319 Å, 90.00 90.00 90.00°
Sites, in units of the cell vectors:
La1 0.0000 0.0000 0.0000
La2 0.5000 0.5000 0.0000
Ti1 0.3815 0.8815 0.0000
Sb1 0.3304 0.1696 0.5000
Ti2 0.6185 0.1185 0.0000
Sb2 0.1696 0.6696 0.5000
Sb3 0.6696 0.8304 0.5000
Sb4 0.8304 0.3304 0.5000
Ti3 0.1185 0.3815 0.0000
Ti4 0.8815 0.6185 0.0000

final energy	-6.205	eV/atom
energy relative to the elements, uncorrected	-413	meV/atom
total magnetic moment	0.00	μB/atom

Question: Which formula does entry 1 have?
Answer: La2TiSb4